{
  "formula": "MgBi2Mo",
  "functional": "PBE-GGA",
  "state": "optimized geometry",
  "delta_e_f_ev_per_atom": 0.6973,
  "dos_at_fermi_per_ev_fu": 1.40,
  "sg": "I-42d, No. 122",
  "cell": [[-3.781, -5.320, -0.770], [0.955, -1.592, 6.304], [-6.702, 0.058, 4.456]],
  "species": ["Mg", "Mg", "Mo", "Mo", "Bi", "Bi", "Bi", "Bi"],
  "fractional_positions": [[0.500, 0.500, 0.000], [0.250, 0.750, 0.500], [0.000, 0.000, 0.000], [0.750, 0.250, 0.500], [0.652, 0.125, 0.250], [0.098, 0.625, 0.250], [0.375, 0.348, 0.750], [0.875, 0.902, 0.750]]
}